# 1
# InRuI3

A relaxed structure of InRuI3 (PBE-GGA, Alexandria via LeMat-Bulk).

```
data_InRuI3
_chemical_formula_sum 'In1 Ru1 I3'
_cell_length_a 5.9389
_cell_length_b 5.9389
_cell_length_c 5.9389
_cell_angle_alpha 90.00
_cell_angle_beta 90.00
_cell_angle_gamma 90.00
_symmetry_space_group_name_H-M 'P m -3 m'
_symmetry_Int_Tables_number 221
_symmetry_space_group_name_Hall '-P 4 2 3'
loop_
_atom_site_label
_atom_site_type_symbol
_atom_site_fract_x
_atom_site_fract_y
_atom_site_fract_z
In1 In 0.0000 0.0000 0.0000
Ru1 Ru 0.5000 0.5000 0.5000
I1 I 0.0000 0.0000 0.5000
```

Properties
ΔE_f (raw)	828.1	meV per atom
total magnetization	3.2	μB per formula unit
energy relative to the lowest polymorph listed for this composition	3.55	eV/f.u.

---

# 2
# In2Ru2I

A relaxed structure of In2Ru2I (PBE-GGA, Alexandria via LeMat-Bulk).

```
data_In2Ru2I
_chemical_formula_sum 'In4 Ru4 I2'
_cell_length_a 8.1328
_cell_length_b 8.1328
_cell_length_c 3.1076
_cell_angle_alpha 90.00
_cell_angle_beta 90.00
_cell_angle_gamma 90.00
_symmetry_space_group_name_H-M 'P 4/m b m'
_symmetry_Int_Tables_number 127
_symmetry_space_group_name_Hall '-P 4 2ab'
loop_
_atom_site_label
_atom_site_type_symbol
_atom_site_fract_x
_atom_site_fract_y
_atom_site_fract_z
In1 In 0.1488 0.3512 0.0000
Ru1 Ru 0.1404 0.6404 0.5000
I1 I 0.0000 0.0000 0.0000
```

Properties
ΔE_f (raw)	665.1	meV per atom
total magnetization	1.3	μB per formula unit
energy relative to the lowest polymorph listed for this composition	1.28	eV/f.u.

---

total magnetization of number 2 (In2Ru2I)?
1.3 μB per formula unit

---

What is the ΔE_f (raw) in the first record?
828.1 meV per atom

---

Please write out number 2 again, unchanged.
# In2Ru2I

A relaxed structure of In2Ru2I (PBE-GGA, Alexandria via LeMat-Bulk).

```
data_In2Ru2I
_chemical_formula_sum 'In4 Ru4 I2'
_cell_length_a 8.1328
_cell_length_b 8.1328
_cell_length_c 3.1076
_cell_angle_alpha 90.00
_cell_angle_beta 90.00
_cell_angle_gamma 90.00
_symmetry_space_group_name_H-M 'P 4/m b m'
_symmetry_Int_Tables_number 127
_symmetry_space_group_name_Hall '-P 4 2ab'
loop_
_atom_site_label
_atom_site_type_symbol
_atom_site_fract_x
_atom_site_fract_y
_atom_site_fract_z
In1 In 0.1488 0.3512 0.0000
Ru1 Ru 0.1404 0.6404 0.5000
I1 I 0.0000 0.0000 0.0000
```

Properties
ΔE_f (raw)	665.1	meV per atom
total magnetization	1.3	μB per formula unit
energy relative to the lowest polymorph listed for this composition	1.28	eV/f.u.